Entry w
PmDyTmSc, relaxed, DFT GGA-PBE; DOS(E_F) = 1.5193 states/eV/atom; SG = No. 216
1.0
7.842 0.000 0.000
0.000 7.842 0.000
0.000 0.000 7.842
Pm Dy Tm Sc
4 4 4 4
Cartesian
0.000 0.000 0.000
0.000 3.921 3.921
3.921 0.000 3.921
3.921 3.921 0.000
0.000 0.000 3.921
0.000 3.921 0.000
3.921 0.000 0.000
3.921 3.921 3.921
1.961 1.961 5.882
1.961 5.882 1.961
5.882 1.961 1.961
5.882 5.882 5.882
1.961 1.961 1.961
1.961 5.882 5.882
5.882 1.961 5.882
5.882 5.882 1.961

***

Entry x
PmDyTmSc, relaxed, DFT GGA-PBE; DOS(E_F) = 1.6731 states/eV/atom; SG = No. 8
1.0
12.047 0.000 0.000
0.000 5.606 0.000
-1.179 0.000 3.583
Pm Dy Tm Sc
2 2 2 2
Cartesian
0.000 0.000 0.000
6.024 2.803 0.000
2.488 2.803 0.816
8.511 0.000 0.816
2.303 0.000 2.739
8.327 2.803 2.739
5.389 0.000 1.773
11.413 2.803 1.773

***

Most stable structure, least stable structure: entry x, entry w.

***

Entry w
PmDyYSc, relaxed, DFT GGA-PBE; DOS(E_F) = 1.6232 states/eV/atom; SG = No. 216
1.0
7.890 0.000 0.000
0.000 7.890 0.000
0.000 0.000 7.890
Pm Dy Y Sc
4 4 4 4
Cartesian
0.000 0.000 0.000
0.000 3.945 3.945
3.945 0.000 3.945
3.945 3.945 0.000
0.000 0.000 3.945
0.000 3.945 0.000
3.945 0.000 0.000
3.945 3.945 3.945
1.973 1.973 1.973
1.973 5.918 5.918
5.918 1.973 5.918
5.918 5.918 1.973
1.973 1.973 5.918
1.973 5.918 1.973
5.918 1.973 1.973
5.918 5.918 5.918

***

Entry x
PmDyYSc, relaxed, DFT GGA-PBE; DOS(E_F) = 1.9166 states/eV/atom; SG = No. 8
1.0
12.155 0.000 0.000
0.000 5.625 0.000
-1.186 0.000 3.608
Pm Dy Y Sc
2 2 2 2
Cartesian
0.000 0.000 0.000
6.078 2.813 0.000
-0.110 2.813 1.963
5.967 0.000 1.963
2.435 0.000 2.809
8.512 2.813 2.809
2.967 2.813 0.980
9.045 0.000 0.980

***

Most stable structure, least stable structure: entry x, entry w.

***

Entry w
PmDySe2, relaxed, DFT GGA-PBE; DOS(E_F) = 0.3893 states/eV/atom; SG = No. 194
1.0
4.070 0.000 0.000
-2.035 3.525 0.000
0.000 0.000 13.995
Pm Dy Se
2 2 4
Cartesian
0.000 2.350 3.499
2.035 1.175 10.496
0.000 0.000 0.000
0.000 0.000 6.997
0.000 2.350 8.653
0.000 2.350 12.339
2.035 1.175 1.655
2.035 1.175 5.342

***

Entry x
PmDySe2, relaxed, DFT GGA-PBE; DOS(E_F) = 0.3055 states/eV/atom; SG = No. 160
1.0
4.015 0.000 0.000
-2.007 3.477 0.000
0.000 0.000 21.758
Pm Dy Se
3 3 6
Cartesian
0.000 0.000 0.000
0.000 2.318 14.505
2.007 1.159 7.253
0.000 0.000 17.908
0.000 2.318 10.655
2.007 1.159 3.403
0.000 0.000 8.995
0.000 0.000 12.539
0.000 2.318 1.743
0.000 2.318 5.287
2.007 1.159 16.248
2.007 1.159 19.792

***

Entry y
PmDySe2, relaxed, DFT GGA-PBE; DOS(E_F) = 0.7946 states/eV/atom; SG = No. 225
1.0
7.177 0.000 0.000
0.000 7.177 0.000
0.000 0.000 7.177
Pm Dy Se
4 4 8
Cartesian
0.000 0.000 0.000
0.000 3.588 3.588
3.588 0.000 3.588
3.588 3.588 0.000
0.000 0.000 3.588
0.000 3.588 0.000
3.588 0.000 0.000
3.588 3.588 3.588
1.794 1.794 1.794
1.794 1.794 5.383
1.794 5.383 1.794
1.794 5.383 5.383
5.383 1.794 1.794
5.383 1.794 5.383
5.383 5.383 1.794
5.383 5.383 5.383

***

Most stable structure, least stable structure: entry w, entry y.